[1]
PBE Gd2Ga9Ir3, optimized geometry; E_tot = -182.8 eV per cell; formation enthalpy at 0 K = -673 meV per atom
1.0
6.574 -3.813 0.000
6.574 3.813 0.000
0.000 0.000 9.543
Gd Ga Ir
4 18 6
Direct
0.002 0.669 0.750
0.331 0.998 0.750
0.669 0.002 0.250
0.998 0.331 0.250
0.000 0.335 0.580
0.000 0.335 0.920
0.000 0.665 0.080
0.000 0.665 0.420
0.129 0.871 0.250
0.333 0.667 0.564
0.333 0.667 0.936
0.335 0.000 0.080
0.335 0.000 0.420
0.339 0.454 0.250
0.454 0.339 0.750
0.546 0.661 0.250
0.661 0.546 0.750
0.665 0.000 0.580
0.665 0.000 0.920
0.667 0.333 0.064
0.667 0.333 0.436
0.871 0.129 0.750
0.000 0.000 0.000
0.000 0.000 0.500
0.329 0.329 0.000
0.329 0.329 0.500
0.671 0.671 0.000
0.671 0.671 0.500

***

[2]
PBE GdGa2Ir, optimized geometry; E_tot = -31.6 eV per cell; formation enthalpy at 0 K = -652 meV per atom
1.0
2.120 1.224 5.021
-2.120 1.224 5.021
0.000 -2.448 5.021
Gd Ga Ir
1 2 1
Direct
0.000 0.000 0.000
0.216 0.216 0.216
0.784 0.784 0.784
0.500 0.500 0.500

***

[3]
PBE GdGa2Ir, optimized geometry; E_tot = -31.2 eV per cell; formation enthalpy at 0 K = -560 meV per atom
1.0
0.000 3.279 3.279
3.279 0.000 3.279
3.279 3.279 0.000
Gd Ga Ir
1 2 1
Direct
0.000 0.000 0.000
0.250 0.250 0.250
0.750 0.750 0.750
0.500 0.500 0.500

***

[4]
PBE GdGaIr2, optimized geometry; E_tot = -36.9 eV per cell; formation enthalpy at 0 K = -505 meV per atom
1.0
3.155 0.000 0.000
0.000 3.155 0.000
0.000 0.000 6.943
Gd Ga Ir
1 1 2
Direct
0.000 0.000 0.000
0.000 0.000 0.500
0.500 0.500 0.290
0.500 0.500 0.710

***

[5]
PBE LaGdGaIr, optimized geometry; E_tot = -33.2 eV per cell; formation enthalpy at 0 K = -564 meV per atom
1.0
0.000 3.613 3.613
3.613 0.000 3.613
3.613 3.613 0.000
La Gd Ga Ir
1 1 1 1
Direct
0.000 0.000 0.000
0.500 0.500 0.500
0.250 0.250 0.250
0.750 0.750 0.750

***

[6]
PBE LiGdGaIr, optimized geometry; E_tot = -30.0 eV per cell; formation enthalpy at 0 K = -521 meV per atom
1.0
0.000 3.288 3.288
3.288 0.000 3.288
3.288 3.288 0.000
Li Gd Ga Ir
1 1 1 1
Direct
0.000 0.000 0.000
0.750 0.750 0.750
0.250 0.250 0.250
0.500 0.500 0.500

***

[7]
PBE GdLuGaIr, optimized geometry; E_tot = -33.2 eV per cell; formation enthalpy at 0 K = -688 meV per atom
1.0
0.000 3.485 3.485
3.485 0.000 3.485
3.485 3.485 0.000
Gd Lu Ga Ir
1 1 1 1
Direct
0.000 0.000 0.000
0.500 0.500 0.500
0.750 0.750 0.750
0.250 0.250 0.250

***

[8]
PBE GdMgGaIr, optimized geometry; E_tot = -29.4 eV per cell; formation enthalpy at 0 K = -460 meV per atom
1.0
0.000 3.384 3.384
3.384 0.000 3.384
3.384 3.384 0.000
Gd Mg Ga Ir
1 1 1 1
Direct
0.000 0.000 0.000
0.500 0.500 0.500
0.250 0.250 0.250
0.750 0.750 0.750

***

[9]
PBE NdGdGaIr, optimized geometry; E_tot = -33.0 eV per cell; formation enthalpy at 0 K = -565 meV per atom
1.0
0.000 3.583 3.583
3.583 0.000 3.583
3.583 3.583 0.000
Nd Gd Ga Ir
1 1 1 1
Direct
0.000 0.000 0.000
0.500 0.500 0.500
0.250 0.250 0.250
0.750 0.750 0.750

***

[10]
PBE PrGdGaIr, optimized geometry; E_tot = -32.9 eV per cell; formation enthalpy at 0 K = -543 meV per atom
1.0
0.000 3.597 3.597
3.597 0.000 3.597
3.597 3.597 0.000
Pr Gd Ga Ir
1 1 1 1
Direct
0.000 0.000 0.000
0.500 0.500 0.500
0.750 0.750 0.750
0.250 0.250 0.250

***

[11]
PBE GdPuGaIr, optimized geometry; E_tot = -42.1 eV per cell; formation enthalpy at 0 K = -457 meV per atom
1.0
0.000 3.520 3.520
3.520 0.000 3.520
3.520 3.520 0.000
Gd Pu Ga Ir
1 1 1 1
Direct
0.000 0.000 0.000
0.500 0.500 0.500
0.250 0.250 0.250
0.750 0.750 0.750

***

[12]
PBE GdScGaIr, optimized geometry; E_tot = -35.0 eV per cell; formation enthalpy at 0 K = -666 meV per atom
1.0
0.000 3.424 3.424
3.424 0.000 3.424
3.424 3.424 0.000
Gd Sc Ga Ir
1 1 1 1
Direct
0.000 0.000 0.000
0.500 0.500 0.500
0.250 0.250 0.250
0.750 0.750 0.750

***

[13]
PBE SmGdGaIr, optimized geometry; E_tot = -33.1 eV per cell; formation enthalpy at 0 K = -599 meV per atom
1.0
0.000 3.560 3.560
3.560 0.000 3.560
3.560 3.560 0.000
Sm Gd Ga Ir
1 1 1 1
Direct
0.000 0.000 0.000
0.500 0.500 0.500
0.250 0.250 0.250
0.750 0.750 0.750

***

[14]
PBE TbGdGaIr, optimized geometry; E_tot = -33.2 eV per cell; formation enthalpy at 0 K = -646 meV per atom
1.0
0.000 3.529 3.529
3.529 0.000 3.529
3.529 3.529 0.000
Tb Gd Ga Ir
1 1 1 1
Direct
0.000 0.000 0.000
0.500 0.500 0.500
0.750 0.750 0.750
0.250 0.250 0.250

***

[15]
PBE GdTmGaIr, optimized geometry; E_tot = -33.2 eV per cell; formation enthalpy at 0 K = -680 meV per atom
1.0
0.000 3.497 3.497
3.497 0.000 3.497
3.497 3.497 0.000
Gd Tm Ga Ir
1 1 1 1
Direct
0.000 0.000 0.000
0.500 0.500 0.500
0.250 0.250 0.250
0.750 0.750 0.750